[1]
Density functional theory data (PBE-GGA) for a geometry-optimized Ta2CrIn structure.

Cell and atoms, written as POSCAR:
```
Ta2CrIn
1.0
-8.366 -2.502 2.075
-8.201 -3.557 -0.797
-7.121 -5.247 1.520
Cr In Ta
1 1 2
Cartesian
-5.922 -2.826 0.700
-17.766 -8.479 2.099
-23.399 -11.168 2.764
-12.134 -5.791 1.433
```

SG   R-3m
Formation energy   0.305 eV per atom

***

[2]
Density functional theory data (PBE-GGA) for a geometry-optimized AgSbRh2 structure.

Cell and atoms, written as POSCAR:
```
AgSbRh2
1.0
8.201 -1.585 0.011
8.201 1.585 0.011
7.891 0.000 2.738
Ag Sb Rh
1 1 2
Cartesian
0.000 0.000 0.000
12.147 0.000 1.380
18.371 0.000 2.087
5.923 0.000 0.673
```

Formation energy (no corrections)   0.065 eV per atom
SG   R-3m

***

Per-record theoretical density, kg/m3: 12269, 10198
Per-record uncorrected energy, eV/f.u.: -34.8, -21.4